1.
TaH2Rh | PBE | optimized geometry

Electronic total energy in eV/f.u.: -26.07
Magnetic moment in μB per cell: 0.00

Lattice parameters (Å, degrees): 3.0341 3.0341 5.2197 73.10 73.10 60.00
Fractional positions:
H 0.1164 0.1164 0.6507
H 0.8836 0.8836 0.3493
Rh 0.0000 0.0000 0.0000
Ta 0.5000 0.5000 0.5000

2.
Ca3MgHg | PBE | optimized geometry

Electronic total energy in eV/f.u.: -7.87
Magnetic moment in μB per cell: 0.00

Lattice parameters (Å, degrees): 5.8772 5.8772 5.8772 90.00 90.00 90.00
Fractional positions:
Mg 0.5000 0.5000 0.5000
Ca 0.0000 0.5000 0.0000
Ca 0.0000 0.0000 0.5000
Ca 0.5000 0.0000 0.0000
Hg 0.0000 0.0000 0.0000

3.
Al2CuW | PBE | optimized geometry

Electronic total energy in eV/f.u.: -24.89
Magnetic moment in μB per cell: 0.00

Lattice parameters (Å, degrees): 4.6675 4.6675 2.7932 90.00 90.00 105.22
Fractional positions:
Cu 0.5000 0.0000 0.5000
W 0.0000 0.5000 0.5000
Al 0.0000 0.0000 0.0000
Al 0.5000 0.5000 0.0000

4.
PrNd2Er4 | PBE | optimized geometry

Electronic total energy in eV/f.u.: -31.73
Magnetic moment in μB per cell: 0.01

Lattice parameters (Å, degrees): 6.1253 6.6125 11.7593 90.00 106.03 90.00
Fractional positions:
Pr 0.1754 0.7500 0.1358
Pr 0.8246 0.2500 0.8642
Nd 0.6164 0.7500 0.0138
Nd 0.3836 0.2500 0.9862
Nd 0.2951 0.2500 0.4518
Nd 0.7049 0.7500 0.5482
Er 0.6327 0.4919 0.2903
Er 0.9773 0.7500 0.8315
Er 0.0227 0.2500 0.1685
Er 0.6327 0.0081 0.2903
Er 0.8625 0.2500 0.5788
Er 0.3673 0.9919 0.7097
Er 0.3673 0.5081 0.7097
Er 0.1375 0.7500 0.4212

5.
MoOsSe | PBE | optimized geometry

Electronic total energy in eV/f.u.: -24.94
Magnetic moment in μB per cell: 0.00
Uncorrected formation energy in meV/atom: 201

Lattice parameters (Å, degrees): 5.5861 5.5861 5.5861 148.93 148.93 44.52
Fractional positions:
Mo 0.9989 0.9989 0.0000
Os 0.3382 0.3382 0.0000
Se 0.6629 0.6629 0.0000

6.
AcP2Au | PBE | optimized geometry

Electronic total energy in eV/f.u.: -20.03
Magnetic moment in μB per cell: 0.00

Lattice parameters (Å, degrees): 5.4976 5.4976 4.8022 55.08 55.08 60.00
Fractional positions:
P 0.2180 0.2180 0.3459
P 0.7820 0.7820 0.6541
Ac 0.5000 0.5000 0.5000
Au 0.0000 0.0000 0.0000

7.
TiBe3W | PBE | optimized geometry

Electronic total energy in eV/f.u.: -23.76
Magnetic moment in μB per cell: 0.66

Lattice parameters (Å, degrees): 4.0236 4.0236 4.0236 90.00 90.00 90.00
Fractional positions:
Be 0.0000 0.5000 0.0000
Be 0.0000 0.0000 0.5000
Be 0.5000 0.0000 0.0000
W 0.5000 0.5000 0.5000
Ti 0.0000 0.0000 0.0000

8.
CePm2Bi2 | PBE | optimized geometry

Electronic total energy in eV/f.u.: -26.07
Magnetic moment in μB per cell: 2.67

Lattice parameters (Å, degrees): 4.4043 7.3620 10.2216 90.00 102.44 90.00
Fractional positions:
Ce 0.4225 0.1113 0.8450
Ce 0.5775 0.6113 0.1550
Pm 0.3980 0.5576 0.7961
Pm 0.7977 0.8415 0.5954
Pm 0.2023 0.3415 0.4046
Pm 0.6020 0.0576 0.2039
Bi 0.9738 0.8190 0.9475
Bi 0.8181 0.3049 0.6362
Bi 0.1819 0.8049 0.3638
Bi 0.0262 0.3190 0.0525